1.
This record from Alexandria via LeMat-Bulk describes crystalline LiAgHg2I6 at its relaxed geometry. The functional is GGA-PBE.

The value obtained for the magnetic moment is 0.00 μB/cell. The calculation puts the calculated total energy at -56.55 eV/cell.

It has space group R3 (No. 146, hexagonal axes), with a = 7.6678 Å, b = 7.6678 Å, c = 21.8514 Å, α = 90.00°, β = 90.00° and γ = 120.00°. The distinct sites, in fractional coordinates, are Li at (0.0000, 0.0000, 0.0000), Ag at (0.0000, 0.0000, 0.5001), Hg at (0.0000, 0.0000, 0.2529), Hg at (0.0000, 0.0000, 0.7487), I at (0.0044, 0.6404, 0.7505) and I at (0.0299, 0.3361, 0.5846).



2.
This record from Alexandria via LeMat-Bulk describes crystalline Mn2AgHgI at its relaxed geometry. The functional is GGA-PBE.

The value obtained for the magnetic moment is 7.78 μB/cell. The calculation puts the calculated total energy at -17.01 eV/cell.

It has space group P4/mmm (No. 123), with a = 4.944 Å, b = 4.944 Å, c = 6.507 Å, α = 90.00°, β = 90.00° and γ = 90.00°. The distinct sites, in fractional coordinates, are Mn at (0.000, 0.500, 0.000), Ag at (0.000, 0.000, 0.500), Hg at (0.500, 0.500, 0.500) and I at (0.500, 0.500, 0.000).